(1)
{
  "formula": "Cs3BeO",
  "functional": "PBE-GGA",
  "state": "relaxed",
  "energy_ev_per_atom": -2.24,
  "formation_energy_uncorrected_ev_per_atom": 0.01,
  "lattice_angstrom": [[-0.3955, -5.5303, 2.1952], [5.4297, -1.2353, -2.1337], [2.4336, 1.8573, 5.1175]],
  "species": ["Cs", "Cs", "Cs", "O", "Be"],
  "fractional_positions": [[0.0000, 0.5000, 0.0000], [0.5000, 0.0000, 0.0000], [0.0000, 0.0000, 0.5000], [0.0000, 0.0000, 0.0000], [0.5000, 0.5000, 0.5000]]
}


(2)
{
  "formula": "Cs3BeO2",
  "functional": "PBE-GGA",
  "state": "relaxed",
  "energy_ev_per_atom": -4.10,
  "formation_energy_uncorrected_ev_per_atom": -1.40,
  "lattice_angstrom": [[-7.3319, -3.8783, -0.2712], [0.1158, -8.5236, -8.2234], [1.4103, -11.3242, -3.1718]],
  "species": ["O", "O", "O", "O", "Cs", "Cs", "Cs", "Cs", "Cs", "Cs", "Be", "Be"],
  "fractional_positions": [[0.9462, 0.9079, 0.1996], [0.5538, 0.8004, 0.0921], [0.4462, 0.1996, 0.9079], [0.0538, 0.0921, 0.8004], [0.8939, 0.8561, 0.8561], [0.1061, 0.1439, 0.1439], [0.2500, 0.5000, 0.5000], [0.6061, 0.1439, 0.1439], [0.7500, 0.5000, 0.5000], [0.3939, 0.8561, 0.8561], [0.0000, 0.0000, 0.0000], [0.5000, 0.0000, 0.0000]]
}


(3)
{
  "formula": "CsBeO3",
  "functional": "PBE-GGA",
  "state": "relaxed",
  "energy_ev_per_atom": -2.69,
  "formation_energy_uncorrected_ev_per_atom": 1.20,
  "lattice_angstrom": [[4.3642, 0.0000, 0.0000], [0.0000, 4.3642, 0.0000], [0.0000, 0.0000, 4.3642]],
  "species": ["O", "O", "O", "Cs", "Be"],
  "fractional_positions": [[0.5000, 0.0000, 0.0000], [0.0000, 0.5000, 0.0000], [0.0000, 0.0000, 0.5000], [0.0000, 0.0000, 0.0000], [0.5000, 0.5000, 0.5000]]
}


(4)
{
  "formula": "CsBeO",
  "functional": "PBE-GGA",
  "state": "relaxed",
  "energy_ev_per_atom": -4.23,
  "formation_energy_uncorrected_ev_per_atom": -1.05,
  "lattice_angstrom": [[-2.8343, 0.0078, -1.1454], [0.8198, -2.0967, -6.1226], [-2.6053, -5.5109, 2.3297]],
  "species": ["Be", "Be", "O", "O", "Cs", "Cs"],
  "fractional_positions": [[0.6466, 0.8531, 0.8537], [0.3534, 0.1469, 0.1463], [0.2357, 0.7638, 0.7648], [0.7643, 0.2362, 0.2352], [0.0002, 0.3095, 0.6902], [0.9998, 0.6905, 0.3098]]
}